Record 1
Pm2PuCd | GGA-PBE | relaxed

Structure (extended XYZ):
```
4
Lattice="3.429 0.000 0.000 1.714 2.969 0.000 1.714 0.990 12.020" Properties=species:S:1:pos:R:3 pbc="T T T"
Cd 3.429 1.980 6.010
Pm 1.714 0.990 8.695
Pm 5.143 2.969 3.326
Pu 0.000 0.000 0.000
```

Output
Polymorph energy (0 for the lowest one), meV/atom: 269
SG: No. 166

Record 2
PmPuCd2 | GGA-PBE | relaxed

Structure (extended XYZ):
```
4
Lattice="-2.819 1.710 -2.022 0.520 -3.680 -3.838 -3.621 -3.069 2.452" Properties=species:S:1:pos:R:3 pbc="T T T"
Cd -1.811 -1.535 1.226
Cd 0.260 -1.840 -1.919
Pu -2.960 -2.520 -1.704
Pm -1.409 0.855 -1.011
```

Output
Polymorph energy (0 for the lowest one), meV/atom: 0
SG: No. 123

Record 3
PmPu2Cd6 | GGA-PBE | relaxed

Structure (extended XYZ):
```
9
Lattice="6.048 0.067 -0.480 -0.554 6.010 -0.622 0.042 0.190 6.064" Properties=species:S:1:pos:R:3 pbc="T T T"
Pu 1.887 2.135 1.691
Pu 3.649 4.132 3.272
Cd 0.760 3.174 4.668
Cd 4.975 1.149 2.529
Cd 2.569 5.078 0.247
Cd 4.776 3.093 0.295
Cd 2.967 1.189 4.715
Cd 0.561 5.119 2.434
Pm 0.000 0.000 0.000
```

Output
SG: No. 166

Record 4
PmPuCd2 | GGA-PBE | relaxed

Structure (extended XYZ):
```
4
Lattice="5.388 0.000 0.000 2.694 4.666 0.000 2.694 1.555 4.399" Properties=species:S:1:pos:R:3 pbc="T T T"
Cd 8.082 4.666 3.299
Cd 2.694 1.555 1.100
Pm 5.388 3.111 2.200
Pu 0.000 0.000 0.000
```

Output
Polymorph energy (0 for the lowest one), meV/atom: 20
SG: No. 225

Record 5
PmPuCd6 | GGA-PBE | relaxed

Structure (extended XYZ):
```
8
Lattice="-4.473 1.976 -0.969 -2.442 -6.085 -1.141 -0.429 2.115 6.296" Properties=species:S:1:pos:R:3 pbc="T T T"
Cd -1.931 -1.812 5.218
Cd -3.358 -1.412 -0.202
Cd -4.525 -4.473 -1.060
Cd -4.616 -3.152 2.056
Cd -0.302 0.440 2.294
Cd -1.596 -2.637 1.986
Pm -3.450 -0.094 2.911
Pu -0.650 1.215 5.480
```

Output
SG: No. 38

Record 6
Pm2PuCd | GGA-PBE | relaxed

Structure (extended XYZ):
```
4
Lattice="5.499 0.000 0.000 2.749 4.762 0.000 2.749 1.587 4.490" Properties=species:S:1:pos:R:3 pbc="T T T"
Pm 2.749 1.587 1.122
Pm 8.248 4.762 3.367
Pu 0.000 0.000 0.000
Cd 5.499 3.175 2.245
```

Output
Polymorph energy (0 for the lowest one), meV/atom: 110
SG: No. 225

Record 7
PmPuCd2 | GGA-PBE | relaxed

Structure (extended XYZ):
```
4
Lattice="3.277 0.000 0.000 0.000 3.277 0.000 0.000 0.000 9.708" Properties=species:S:1:pos:R:3 pbc="T T T"
Pu 1.638 1.638 0.000
Cd 0.000 0.000 2.424
Cd 0.000 0.000 7.284
Pm 1.638 1.638 4.854
```

Output
Polymorph energy (0 for the lowest one), meV/atom: 6
SG: No. 123

Record 8
Pm2PuCd6 | GGA-PBE | relaxed

Structure (extended XYZ):
```
9
Lattice="3.317 0.000 0.001 0.000 7.678 4.415 -0.001 0.015 8.856" Properties=species:S:1:pos:R:3 pbc="T T T"
Cd 1.658 5.124 5.895
Cd 1.659 2.573 10.328
Cd 1.658 5.119 2.944
Cd 1.660 7.683 7.366
Cd 1.658 2.568 7.377
Cd 1.657 0.010 5.906
Pm 3.317 5.128 8.848
Pm 0.000 2.564 4.424
Pu 0.000 0.000 0.000
```

Output
SG: No. 191

no.,DFT total energy (eV/cell)
1,-23.854
2,-21.439
3,-40.465
4,-21.360
5,-25.870
6,-24.491
7,-21.413
8,-31.630